1.
# Th2ZnAg

Th2ZnAg after structural relaxation (PBE, Alexandria via LeMat-Bulk).

Calculated values
Formation enthalpy at 0 K   0.3354 eV/atom
Calculated total energy   -4.406 eV/atom

Unit cell a=3.3414 b=3.3414 c=11.7580 alpha=81.83 beta=81.83 gamma=60.00
Positions (direct):
Th: 0.9091 0.9091 0.2727
Th: 0.0909 0.0909 0.7273
Zn: 0.0000 0.0000 0.0000
Ag: 0.5000 0.5000 0.5000


2.
# LaY2Mg

LaY2Mg after structural relaxation (PBE, Alexandria via LeMat-Bulk).

Calculated values
Formation enthalpy at 0 K   0.0148 eV/atom
Calculated total energy   -4.848 eV/atom

Unit cell a=6.0693 b=6.0693 c=6.0693 alpha=130.94 beta=130.94 gamma=71.90
Positions (direct):
La: 0.5000 0.5000 0.0000
Mg: 0.7500 0.2500 0.5000
Y: 0.0000 0.0000 0.0000
Y: 0.2500 0.7500 0.5000


3.
# TlCrCd3

TlCrCd3 after structural relaxation (PBE, Alexandria via LeMat-Bulk).

Calculated values
Polymorph energy (0 for the lowest one)   0 meV/atom
Formation enthalpy at 0 K   0.5075 eV/atom
Calculated total energy   -2.440 eV/atom

Unit cell a=5.3407 b=5.3407 c=5.3407 alpha=90.00 beta=90.00 gamma=90.00
Last column: magnetic moment on the atom in μB.
Positions (direct):
Cd: 0.5000 0.0000 0.0000  0.05
Cd: 0.0000 0.0000 0.5000  0.03
Cd: 0.0000 0.5000 0.0000  0.04
Tl: 0.5000 0.5000 0.5000  -0.03
Cr: 0.0000 0.0000 0.0000  3.79


4.
# ZrSn2Au2

ZrSn2Au2 after structural relaxation (PBE, Alexandria via LeMat-Bulk).

Calculated values
Polymorph energy (0 for the lowest one)   0 meV/atom
Formation enthalpy at 0 K   -0.1972 eV/atom
Calculated total energy   -4.819 eV/atom

Unit cell a=7.7628 b=7.7628 c=3.6460 alpha=90.00 beta=90.00 gamma=90.00
Positions (direct):
Au: 0.3730 0.8730 0.0000
Zr: 0.5000 0.5000 0.0000
Sn: 0.1786 0.6786 0.5000
Sn: 0.6786 0.8214 0.5000
Sn: 0.3214 0.1786 0.5000
Sn: 0.8214 0.3214 0.5000
Au: 0.8730 0.6270 0.0000
Au: 0.1270 0.3730 0.0000
Au: 0.6270 0.1270 0.0000
Zr: 0.0000 0.0000 0.0000